Compound: SmScWO6
Source: Alexandria via LeMat-Bulk
Functional: PBE with a Hubbard U
Structure: relaxed

Computed properties:
Calculated total energy (eV/atom): -8.187
Calculated volume (Å³/atom): 13.5

The structure in CIF format:
```
data_SmScWO6
_space_group_name_H-M_alt 'P 42 n m'
_space_group_IT_number 102
_cell_length_a 4.962
_cell_length_b 4.962
_cell_length_c 9.840
_cell_angle_alpha 90.00
_cell_angle_beta 90.00
_cell_angle_gamma 90.00
loop_
_space_group_symop_operation_xyz
'x,y,z'
'-y+1/2,x+1/2,z+1/2'
'-x,-y,z'
'y+1/2,-x+1/2,z+1/2'
'-x+1/2,y+1/2,z+1/2'
'y,x,z'
'x+1/2,-y+1/2,z+1/2'
'-y,-x,z'
loop_
_atom_site_label
_atom_site_type_symbol
_atom_site_fract_x
_atom_site_fract_y
_atom_site_fract_z
_atom_site_occupancy
Sm1 Sm 0.000 0.000 0.000 1
Sc1 Sc 0.000 0.000 0.666 1
W1 W 0.000 0.000 0.334 1
O1 O 0.176 0.176 0.491 1
O2 O 0.197 0.197 0.195 1
O3 O 0.220 0.220 0.823 1
```